1.
Here is crystalline KBi at its relaxed geometry from Alexandria via LeMat-Bulk. Energies are from PBE.

Unit cell a=6.472 b=18.333 c=10.875 alpha=90.00 beta=90.00 gamma=90.00
Atoms (fractional coordinates):
Bi 0.750 0.167 0.250
Bi 0.500 0.917 0.500
Bi 0.000 0.917 0.000
Bi 0.250 0.167 0.750
Bi 0.250 0.333 0.750
Bi 0.500 0.417 0.000
Bi 0.500 0.083 0.500
Bi 0.000 0.417 0.500
Bi 0.250 0.667 0.250
Bi 0.750 0.333 0.250
Bi 0.500 0.583 0.000
Bi 0.250 0.833 0.250
Bi 0.750 0.667 0.750
Bi 0.000 0.583 0.500
Bi 0.750 0.833 0.750
Bi 0.000 0.083 0.000
K 0.250 0.750 0.588
K 0.500 0.000 0.162
K 0.750 0.750 0.412
K 0.250 0.250 0.412
K 0.000 0.000 0.662
K 0.250 0.750 0.912
K 0.750 0.750 0.088
K 0.500 0.500 0.662
K 0.500 0.500 0.338
K 0.250 0.250 0.088
K 0.750 0.250 0.912
K 0.000 0.500 0.162
K 0.000 0.000 0.338
K 0.000 0.500 0.838
K 0.500 0.000 0.838
K 0.750 0.250 0.588

Results
Symmetry: No. 70
E_tot (eV for the cell shown): -88.800

=====

2.
Here is crystalline InGaO2F at its relaxed geometry from Alexandria via LeMat-Bulk. Energies are from PBE.

Unit cell a=3.936 b=3.936 c=3.914 alpha=90.00 beta=90.00 gamma=90.00
Atoms (fractional coordinates):
In 0.500 0.500 0.500
Ga 0.000 0.000 0.000
O 0.500 0.000 0.000
O 0.000 0.500 0.000
F 0.000 0.000 0.500

Results
Symmetry: No. 123
ΔE_f (raw) (kJ/mol of formula units): -695.1

=====

3.
Here is crystalline RbAcTeCl2 at its relaxed geometry from Alexandria via LeMat-Bulk. Energies are from PBE.

Unit cell a=5.791 b=5.791 c=6.467 alpha=90.00 beta=90.00 gamma=90.00
Atoms (fractional coordinates):
Te 0.000 0.000 0.498
Cl 0.500 0.000 0.986
Cl 0.000 0.500 0.986
Ac 0.000 0.000 0.000
Rb 0.500 0.500 0.530

Results
Symmetry: No. 99
ΔE_f (raw) (kJ/mol of formula units): -905.3

=====

4.
Here is crystalline Sc2TaCr at its relaxed geometry from Alexandria via LeMat-Bulk. Energies are from PBE.

Unit cell a=4.738 b=4.738 c=4.738 alpha=120.10 beta=120.10 gamma=89.82
Each line ends with the local moment (μB).
Atoms (fractional coordinates):
Sc 0.250 0.750 0.500  -0.47
Sc 0.000 0.000 0.000  -0.08
Cr 0.750 0.250 0.500  2.15
Ta 0.500 0.500 0.000  -0.76

Results
Symmetry: No. 119
E_tot (eV for the cell shown): -32.976